[1]
# Dy2CI2

A geometry-optimized Dy2CI2 structure (GGA-PBE, the Alexandria database).

formation energy (no corrections) = -0.97 eV/atom
magnetic moment = 0.000 μB/f.u.
VASP energy = -5.271 eV per atom

Lattice parameters (Å, degrees): 6.7034 3.8713 12.0890 90.00 102.03 90.00
With the nearest neighbours (Å) after each atom.
Space group C2/m (No. 12)
Inequivalent atoms, fractional coordinates:
1 Dy 0.2085 0.0000 0.1110 x4  3 C 2.59
2 C 0.0000 0.5000 0.0000 x2  6 Dy 2.59
3 I 0.0561 0.0000 0.7056 x4  3 Dy 3.11



[2]
# Dy12C6I17

A geometry-optimized Dy12C6I17 structure (GGA-PBE, the Alexandria database).

formation energy (no corrections) = -1.12 eV/atom
magnetic moment = 0.804 μB/f.u.
VASP energy = -5.029 eV per atom

Lattice parameters (Å, degrees): 19.8461 12.2700 18.7345 90.00 91.36 90.00
With the nearest neighbours (Å) after each atom.
Space group C2/c (No. 15)
Inequivalent atoms, fractional coordinates:
1 Dy 0.0022 0.2001 0.4762 x8  4 C 2.53-2.78
2 Dy 0.0392 0.0098 0.8751 x8  1 C 2.26
3 Dy 0.0472 0.4661 0.3483 x8  1 C 2.21
4 Dy 0.0707 0.2308 0.2130 x8  4 C 2.55-2.75
5 Dy 0.1388 0.0031 0.5516 x8  1 C 2.19
6 Dy 0.1534 0.2328 0.3836 x8  2 C 2.41-2.44
7 C 0.0337 0.0014 0.5125 x8  1 C 1.41
8 C 0.0405 0.1699 0.3496 x8  1 C 1.43
9 C 0.0413 0.2860 0.3463 x8  1 C 1.43
10 I 0.0000 0.5000 0.0000 x4  2 Dy 3.04
11 I 0.0467 0.2626 0.8654 x8  3 Dy 3.11-3.34
12 I 0.0998 0.0304 0.7086 x8  4 Dy 3.08-3.38
13 I 0.1008 0.4905 0.1987 x8  3 Dy 3.04-3.25
14 I 0.1451 0.2451 0.0636 x8  3 Dy 3.05-3.20
15 I 0.1467 0.2541 0.5477 x8  3 Dy 3.08-3.21
16 I 0.1965 0.0111 0.9025 x8  3 Dy 3.05-3.15
17 I 0.1956 0.4774 0.3990 x8  3 Dy 3.08-3.40
18 I 0.2286 0.2285 0.2506 x8  2 Dy 2.93-3.19



[3]
# Dy2CI3

A geometry-optimized Dy2CI3 structure (GGA-PBE, the Alexandria database).

formation energy (no corrections) = -1.15 eV/atom
distance to the lowest polymorph of the same formula = 0 meV/atom
magnetic moment = 0.000 μB/f.u.
VASP energy = -4.998 eV per atom

Lattice parameters (Å, degrees): 8.4786 14.0168 16.8113 90.00 119.91 90.00
With the nearest neighbours (Å) after each atom.
Space group P2_1/c (No. 14)
Inequivalent atoms, fractional coordinates:
1 Dy 0.1191 0.1051 0.1209 x4  2 C 2.40
2 Dy 0.2175 0.0882 0.9291 x4  3 C 2.52-2.64
3 Dy 0.3473 0.6345 0.3457 x4  1 C 2.23
4 Dy 0.3611 0.5943 0.5761 x4  1 C 2.28
5 C 0.0886 0.5175 0.5141 x4  1 C 1.42
6 C 0.4633 0.5324 0.4628 x4  1 C 1.41
7 I 0.0111 0.0204 0.2563 x4  3 Dy 3.08-3.13
8 I 0.1724 0.7184 0.6742 x4  3 Dy 3.24-3.40
9 I 0.1799 0.7389 0.9329 x4  3 Dy 3.06-3.15
10 I 0.3059 0.2412 0.5653 x4  3 Dy 3.08-3.13
11 I 0.3108 0.2314 0.8171 x4  2 Dy 3.11
12 I 0.4972 0.5232 0.2406 x4  3 Dy 3.07-3.16



[4]
# La2DyC2I2

A geometry-optimized La2DyC2I2 structure (GGA-PBE, the Alexandria database).

formation energy (no corrections) = -0.60 eV/atom
magnetic moment = 0.000 μB/f.u.
VASP energy = -5.740 eV per atom

Lattice parameters (Å, degrees): 4.5715 4.5715 19.3061 90.00 90.00 90.00
With the nearest neighbours (Å) after each atom.
Space group I4/mmm (No. 139)
Inequivalent atoms, fractional coordinates:
1 La 0.0000 0.0000 0.0826 x4  4 C 2.79
2 Dy 0.0000 0.0000 0.5000 x2  4 C 2.29
3 C 0.0000 0.5000 0.0000 x4  2 Dy 2.29
4 I 0.0000 0.0000 0.3321 x4  1 Dy 3.24, 4 La 3.63



> Which of these has the lowest VASP energy?

La2DyC2I2



> magnetic moment of number 2 (Dy12C6I17)?

0.804 μB/f.u.



> Among the records above, which one has the lowest formation energy (no corrections)?

Dy2CI3